# 1
Compound: La4In12Cu
Source: Alexandria
Functional: GGA-PBE
Structure: optimized geometry

Computed properties:
**Energy of formation**: -0.44 eV per atom
**N(E_F)**: 4.1 states/eV/f.u.

abc: 9.656 9.656 9.656
angles: 90.00 90.00 90.00
Space group Im-3m (No. 229)
Inequivalent atoms, fractional coordinates:
La  0.250  0.250  0.250 x8
In  0.000  0.000  0.282 x12
In  0.000  0.250  0.500 x12
Cu  0.000  0.000  0.000 x2


# 2
Compound: Er6Ge2PbS3
Source: Alexandria
Functional: GGA-PBE
Structure: optimized geometry

Computed properties:
**N(E_F)**: 3.6 states/eV/f.u.
**ΔE_f (raw)**: -30.4 kcal/mol of atoms

abc: 17.735 4.028 8.190
angles: 90.00 103.75 90.00
Space group C2/m (No. 12)
Inequivalent atoms, fractional coordinates:
Er  0.000  0.000  0.229 x4
Er  0.170  0.500  0.080 x4
Er  0.174  0.500  0.591 x4
Ge  0.165  0.000  0.832 x4
Pb  0.000  0.500  0.500 x2
S  0.000  0.500  0.000 x2
S  0.167  0.000  0.331 x4


# 3
Compound: TlRhW2
Source: Alexandria
Functional: GGA-PBE
Structure: optimized geometry

Computed properties:
**Energy of formation**: 0.48 eV per atom
**N(E_F)**: 2.4 states/eV/f.u.
**Relative energy among the computed polymorphs**: 127 meV per atom

abc: 9.895 2.984 4.707
angles: 90.00 101.85 90.00
Space group C2/m (No. 12)
Inequivalent atoms, fractional coordinates:
Tl  0.000  0.000  0.000 x2
Rh  0.000  0.500  0.500 x2
W  0.241  0.000  0.732 x4


# 4
Compound: CeBe3Au6
Source: Alexandria
Functional: GGA-PBE
Structure: optimized geometry

Computed properties:
**Energy of formation**: -0.26 eV per atom
**N(E_F)**: 9.0 states/eV/f.u.

abc: 5.7226 5.7226 18.4255
angles: 90.00 90.00 120.00
Space group R3 (No. 146, hexagonal axes)
Inequivalent atoms, fractional coordinates:
Ce  0.0000  0.0000  0.0000 x3
Be  0.0000  0.0000  0.3103 x3
Be  0.0000  0.0000  0.6458 x3
Be  0.0000  0.0000  0.8409 x3
Au  0.0006  0.4095  0.8867 x9
Au  0.0022  0.5032  0.0772 x9